No. 1
DFT (PBE-GGA) results for LaYGaPt after structural relaxation.

Its total energy is -47.9 eV per cell.

The structure belongs to space group Amm2 (No. 38); the cell edges are 4.4839, 3.9925 and 11.1254 Å and the angles 90.00°, 90.00° and 90.00°. The distinct sites, in fractional coordinates, are La at (0.0000, 0.0000, 0.0000), Y at (0.5000, 0.0000, 0.7170), Ga at (0.5000, 0.0000, 0.4234) and Pt at (0.0000, 0.0000, 0.2770).

No. 2
DFT (PBE-GGA) results for Te2MoAu after structural relaxation.

The uncorrected formation energy comes out at 0.22 eV/atom. The calculation puts the energy above the most stable polymorph in this dataset at 0.122 eV/atom.

The structure belongs to space group Amm2 (No. 38); the cell edges are 4.0902, 3.8312 and 12.1078 Å and the angles 90.00°, 90.00° and 90.00°. The distinct sites, in fractional coordinates, are Te at (0.0000, 0.0000, 0.0000), Te at (0.5000, 0.0000, 0.2623), Mo at (0.0000, 0.0000, 0.6716) and Au at (0.5000, 0.0000, 0.5033).